(1)
A plane-wave DFT calculation with PBE was carried out for a relaxed Sc2SiOs2 crystal.

Properties
**ΔE to the lowest computed polymorph**: 0.000 eV/atom
**Space-group type**: No. 127

The structure in POSCAR format:
```
Sc2SiOs2
1.0
-2.727 4.325 3.724
-4.852 0.417 -4.037
-2.061 -3.153 2.152
Os Sc Si
4 4 2
direct
0.642 0.142 0.000
0.858 0.642 0.000
0.142 0.358 0.000
0.358 0.858 0.000
0.326 0.174 0.500
0.674 0.826 0.500
0.174 0.674 0.500
0.826 0.326 0.500
0.500 0.500 0.000
0.000 0.000 0.000
```


(2)
A plane-wave DFT calculation with PBE was carried out for a relaxed ScSiOs3 crystal.

Properties
**ΔE to the lowest computed polymorph**: 0.000 eV/atom
**Space-group type**: No. 221

The structure in POSCAR format:
```
ScSiOs3
1.0
4.405 0.000 0.000
0.000 4.405 0.000
0.000 0.000 4.405
Si Os Sc
1 3 1
direct
0.000 0.000 0.000
0.000 0.500 0.000
0.000 0.000 0.500
0.500 0.000 0.000
0.500 0.500 0.500
```


(3)
A plane-wave DFT calculation with PBE was carried out for a relaxed ScSi3Os2 crystal.

Properties
**Space-group type**: No. 11

The structure in POSCAR format:
```
ScSi3Os2
1.0
-0.196 2.542 -1.606
-4.098 1.431 2.764
2.921 6.882 10.532
Sc Si Os
2 6 4
direct
0.750 0.151 0.743
0.250 0.849 0.257
0.750 0.348 0.251
0.250 0.216 0.931
0.250 0.072 0.569
0.750 0.784 0.069
0.250 0.652 0.749
0.750 0.928 0.431
0.750 0.406 0.435
0.250 0.594 0.565
0.250 0.738 0.933
0.750 0.262 0.067
```


| no. | density (kg/m3) | formation energy from raw total energies (meV/atom) |
| --- | --- | --- |
| 1 | 9536 | -461 |
| 2 | 12508 | 451 |
| 3 | 9249 | -322 |